Entry 1:
Here is a relaxed structure of InCS2N from Alexandria. Energies are from PBE.

a = 6.027 Å, b = 6.027 Å, c = 2.477 Å
α = 90.00°, β = 90.00°, γ = 90.00°
Element x y z (fractional)
S 0.000 0.500 0.000
S 0.500 0.000 0.000
N 0.000 0.000 0.500
C 0.000 0.000 0.000
In 0.500 0.500 0.500

Values from the calculation:
Formation energy without anion corrections in eV per atom: 0.66
ΔE to the lowest computed polymorph in eV/atom: 0.000
Space-group type: P4/mmm, No. 123


Entry 2:
Here is a relaxed structure of BiRhF from Alexandria. Energies are from PBE.

a = 3.328 Å, b = 5.795 Å, c = 6.327 Å
α = 108.28°, β = 90.01°, γ = 90.00°
Element x y z (fractional)
F 0.750 0.670 0.924
F 0.250 0.330 0.076
Bi 0.250 0.791 0.283
Bi 0.750 0.209 0.717
Rh 0.750 0.703 0.587
Rh 0.250 0.297 0.413

Values from the calculation:
Formation energy without anion corrections in eV per atom: -0.73
Space-group type: P2_1/m, No. 11


Entry 3:
Here is a relaxed structure of TmSnIr from Alexandria. Energies are from PBE.

a = 4.235 Å, b = 7.330 Å, c = 12.292 Å
α = 88.59°, β = 90.00°, γ = 90.00°
Element x y z (fractional)
Tm 0.750 0.533 0.378
Tm 0.250 0.959 0.711
Tm 0.750 0.041 0.289
Tm 0.750 0.647 0.082
Tm 0.250 0.467 0.622
Tm 0.250 0.353 0.918
Sn 0.250 0.992 0.089
Sn 0.250 0.846 0.454
Sn 0.750 0.626 0.793
Sn 0.750 0.154 0.546
Sn 0.250 0.374 0.207
Sn 0.750 0.008 0.911
Ir 0.250 0.758 0.913
Ir 0.750 0.264 0.754
Ir 0.750 0.764 0.581
Ir 0.750 0.242 0.087
Ir 0.250 0.236 0.419
Ir 0.250 0.736 0.246

Values from the calculation:
Formation energy from the elements in meV per atom: -788
Space-group type: P2_1/m, No. 11


Entry 4:
Here is a relaxed structure of LiGdErPt from Alexandria. Energies are from PBE.

a = 4.982 Å, b = 4.982 Å, c = 4.982 Å
α = 60.00°, β = 60.00°, γ = 60.00°
Site moments in Bohr magnetons follow the coordinates.
Element x y z (fractional)
Gd 0.500 0.500 0.500  7.02
Li 0.250 0.250 0.250  0.01
Pt 0.750 0.750 0.750  -0.01
Er 0.000 0.000 0.000  0.03

Values from the calculation:
Formation energy from the elements in meV per atom: -659
Space-group type: F-43m, No. 216


Entry 5:
Here is a relaxed structure of V3AgAs from Alexandria. Energies are from PBE.

a = 4.810 Å, b = 4.810 Å, c = 4.810 Å
α = 90.00°, β = 90.00°, γ = 90.00°
Site moments in Bohr magnetons follow the coordinates.
Element x y z (fractional)
As 0.500 0.500 0.500  -0.20
Ag 0.000 0.000 0.000  0.09
V 0.000 0.500 0.000  2.07
V 0.000 0.000 0.500  2.07
V 0.500 0.000 0.000  2.07

Values from the calculation:
ΔE to the lowest computed polymorph in eV/atom: 0.818
Formation energy from the elements in meV per atom: 1574
Space-group type: Pm-3m, No. 221


Entry 6:
Here is a relaxed structure of LiYSi2Ir from Alexandria. Energies are from PBE.

a = 4.047 Å, b = 4.047 Å, c = 5.810 Å
α = 110.38°, β = 110.38°, γ = 90.00°
Element x y z (fractional)
Li 0.250 0.750 0.500
Y 0.000 0.000 0.000
Si 0.618 0.618 0.237
Si 0.382 0.382 0.763
Ir 0.750 0.250 0.500

Values from the calculation:
Formation energy without anion corrections in eV per atom: -0.79
Space-group type: I-4m2, No. 119


Total DFT energy (no corrections) values, unit eV/atom, following the record order: -5.05 -5.10 -6.57 -7.31 -5.40 -6.41.